[1]
# KNaZn2Au2, relaxed, DFT PBE
data_KNaZn2Au2
_chemical_formula_sum 'K1 Na1 Zn2 Au2'
_space_group_name_H-M_alt 'P -3 m 1'
_space_group_IT_number 164
_space_group_name_Hall '-P 3 2"'
_cell_length_a 4.6188
_cell_length_b 4.6188
_cell_length_c 7.8953
_cell_angle_alpha 90.00
_cell_angle_beta 90.00
_cell_angle_gamma 120.00
loop_
_atom_site_label
_atom_site_type_symbol
_atom_site_fract_x
_atom_site_fract_y
_atom_site_fract_z
K1 K 0.0000 0.0000 0.0000
Na1 Na 0.0000 0.0000 0.5000
Zn1 Zn 0.3333 0.6667 0.3232
Au1 Au 0.3333 0.6667 0.6896
# crystal system: trigonal
# calculated total energy: -2.171 eV/atom
# formation energy from the elements: -251 meV/atom

***

[2]
# Cs2Ga2As2H, relaxed, DFT PBE
data_Cs2Ga2As2H
_chemical_formula_sum 'Cs4 Ga4 As4 H2'
_space_group_name_H-M_alt 'C 1 2/m 1'
_space_group_IT_number 12
_cell_length_a 12.861
_cell_length_b 4.235
_cell_length_c 8.508
_cell_angle_alpha 90.00
_cell_angle_beta 121.76
_cell_angle_gamma 90.00
loop_
_space_group_symop_operation_xyz
'x,y,z'
'-x,-y,-z'
'-x,y,-z'
'x,-y,z'
'x+1/2,y+1/2,z'
'-x+1/2,-y+1/2,-z'
'-x+1/2,y+1/2,-z'
'x+1/2,-y+1/2,z'
loop_
_atom_site_label
_atom_site_type_symbol
_atom_site_fract_x
_atom_site_fract_y
_atom_site_fract_z
Cs1 Cs 0.060 0.000 0.324
Ga1 Ga 0.175 0.500 0.056
As1 As 0.203 0.500 0.775
H1 H 0.000 0.500 0.000
# crystal system: monoclinic
# calculated total energy: -3.248 eV/atom

***

[3]
# CsRbMoOs2, relaxed, DFT PBE
data_CsRbMoOs2
_chemical_formula_sum 'Cs1 Rb1 Mo1 Os2'
_space_group_name_H-M_alt 'P 4/m m m'
_space_group_IT_number 123
_space_group_name_Hall '-P 4 2'
_cell_length_a 4.882
_cell_length_b 4.882
_cell_length_c 5.557
_cell_angle_alpha 90.00
_cell_angle_beta 90.00
_cell_angle_gamma 90.00
loop_
_atom_site_label
_atom_site_type_symbol
_atom_site_fract_x
_atom_site_fract_y
_atom_site_fract_z
Cs1 Cs 0.000 0.000 0.000
Rb1 Rb 0.000 0.000 0.500
Mo1 Mo 0.500 0.500 0.000
Os1 Os 0.000 0.500 0.500
# crystal system: tetragonal
# calculated total energy: -3.118 eV/atom
# formation energy from the elements: 3904 meV/atom

***

[4]
# YBe2Sb, relaxed, DFT PBE
data_YBe2Sb
_chemical_formula_sum 'Y1 Be2 Sb1'
_space_group_name_H-M_alt 'P m m 2'
_space_group_IT_number 25
_cell_length_a 3.769
_cell_length_b 3.804
_cell_length_c 5.256
_cell_angle_alpha 90.00
_cell_angle_beta 90.00
_cell_angle_gamma 90.00
loop_
_space_group_symop_operation_xyz
'x,y,z'
'-x,-y,z'
'-x,y,z'
'x,-y,z'
loop_
_atom_site_label
_atom_site_type_symbol
_atom_site_fract_x
_atom_site_fract_y
_atom_site_fract_z
Y1 Y 0.000 0.000 0.000
Be1 Be 0.500 0.000 0.568
Be2 Be 0.500 0.500 0.787
Sb1 Sb 0.000 0.500 0.479
# crystal system: orthorhombic
# calculated total energy: -4.592 eV/atom
# uncorrected formation energy: -0.083 eV per atom

***

[5]
# Y8ZnPt2, relaxed, DFT PBE
data_Y8ZnPt2
_chemical_formula_sum 'Y16 Zn2 Pt4'
_space_group_name_H-M_alt 'C 1 m 1'
_space_group_IT_number 8
_cell_length_a 8.636
_cell_length_b 13.307
_cell_length_c 5.590
_cell_angle_alpha 90.00
_cell_angle_beta 105.08
_cell_angle_gamma 90.00
loop_
_space_group_symop_operation_xyz
'x,y,z'
'x,-y,z'
'x+1/2,y+1/2,z'
'x+1/2,-y+1/2,z'
loop_
_atom_site_label
_atom_site_type_symbol
_atom_site_fract_x
_atom_site_fract_y
_atom_site_fract_z
Y1 Y 0.000 0.000 0.000
Y2 Y 0.079 0.373 0.775
Y3 Y 0.170 0.127 0.595
Y4 Y 0.254 0.500 0.381
Y5 Y 0.373 0.237 0.190
Zn1 Zn 0.372 0.000 0.254
Pt1 Pt 0.375 0.306 0.690
# crystal system: monoclinic
# calculated total energy: -6.345 eV/atom
# formation energy from the elements: -430 meV/atom

***

[6]
# YMo2Pt, relaxed, DFT PBE
data_YMo2Pt
_chemical_formula_sum 'Y4 Mo8 Pt4'
_space_group_name_H-M_alt 'F -4 3 m'
_space_group_IT_number 216
_space_group_name_Hall 'F -4 2 3'
_cell_length_a 6.602
_cell_length_b 6.602
_cell_length_c 6.602
_cell_angle_alpha 90.00
_cell_angle_beta 90.00
_cell_angle_gamma 90.00
loop_
_atom_site_label
_atom_site_type_symbol
_atom_site_fract_x
_atom_site_fract_y
_atom_site_fract_z
Y1 Y 0.000 0.000 0.000
Mo1 Mo 0.000 0.000 0.500
Mo2 Mo 0.250 0.250 0.750
Pt1 Pt 0.250 0.250 0.250
# crystal system: cubic
# distance to the lowest polymorph of the same formula: 0.44 eV per formula unit
# calculated total energy: -8.570 eV/atom
# formation energy from the elements: -28 meV/atom

***

[7]
# FeRuW2, relaxed, DFT PBE
data_FeRuW2
_chemical_formula_sum 'Fe4 Ru4 W8'
_space_group_name_H-M_alt 'I -4 2 d'
_space_group_IT_number 122
_space_group_name_Hall 'I -4 2bw'
_cell_length_a 3.840
_cell_length_b 3.840
_cell_length_c 17.348
_cell_angle_alpha 90.00
_cell_angle_beta 90.00
_cell_angle_gamma 90.00
loop_
_atom_site_label
_atom_site_type_symbol
_atom_site_fract_x
_atom_site_fract_y
_atom_site_fract_z
Fe1 Fe 0.000 0.000 0.000
Ru1 Ru 0.000 0.000 0.500
W1 W 0.234 0.250 0.125
# crystal system: tetragonal
# distance to the lowest polymorph of the same formula: 2.98 eV per formula unit
# calculated total energy: -10.055 eV/atom
# formation energy from the elements: 856 meV/atom

***

[8]
# Li2YHo2Sn2, relaxed, DFT PBE
data_Li2YHo2Sn2
_chemical_formula_sum 'Li6 Y3 Ho6 Sn6'
_space_group_name_H-M_alt 'R -3 m'
_space_group_IT_number 166
_space_group_name_Hall '-R 3 2"'
_cell_length_a 4.7699
_cell_length_b 4.7699
_cell_length_c 26.4038
_cell_angle_alpha 90.00
_cell_angle_beta 90.00
_cell_angle_gamma 120.00
loop_
_atom_site_label
_atom_site_type_symbol
_atom_site_fract_x
_atom_site_fract_y
_atom_site_fract_z
Li1 Li 0.0000 0.0000 0.0967
Y1 Y 0.0000 0.0000 0.5000
Ho1 Ho 0.0000 0.0000 0.3708
Sn1 Sn 0.0000 0.0000 0.2373
# crystal system: trigonal
# calculated total energy: -4.372 eV/atom
# formation energy from the elements: -450 meV/atom